This record from OQMD describes an optimized crystal structure of BePtSO. The functional is PBE.

space group: Pbca
calculated volume: 442 Å³/cell
uncorrected energy: -5.390 eV per atom

a b c (Å): 7.200 8.656 7.091
angles (deg): 90.00 90.00 90.00
Fractional positions:
Be 0.716 0.433 0.077
Be 0.784 0.933 0.077
Be 0.216 0.433 0.423
Be 0.284 0.933 0.423
Be 0.716 0.067 0.577
Be 0.784 0.567 0.577
Be 0.216 0.067 0.923
Be 0.284 0.567 0.923
O 0.757 0.260 0.103
O 0.743 0.760 0.103
O 0.257 0.260 0.397
O 0.243 0.760 0.397
O 0.757 0.240 0.603
O 0.743 0.740 0.603
O 0.257 0.240 0.897
O 0.243 0.740 0.897
Pt 0.504 0.259 0.245
Pt 0.996 0.759 0.245
Pt 0.004 0.259 0.255
Pt 0.496 0.759 0.255
Pt 0.504 0.241 0.745
Pt 0.996 0.741 0.745
Pt 0.004 0.241 0.755
Pt 0.496 0.741 0.755
S 0.114 0.011 0.193
S 0.386 0.511 0.193
S 0.614 0.011 0.307
S 0.886 0.511 0.307
S 0.114 0.489 0.693
S 0.386 0.989 0.693
S 0.614 0.489 0.807
S 0.886 0.989 0.807